RbTcIr | GGA-PBE | optimized geometry

Computed properties:
Magnetic moment (μB per formula unit): 0.00
Excess energy over the best structure of this formula in the dataset (eV/atom): 0.000

Unit cell a=6.389 b=6.389 c=6.389 alpha=90.00 beta=90.00 gamma=90.00
Space group F-43m (No. 216)
One atom of each set of equivalent atoms:
Rb 0.000 0.000 0.000 x4
Tc 0.250 0.250 0.750 x4
Ir 0.000 0.000 0.500 x4